No. 1
Density functional theory data (GGA-PBE) for crystalline Nb2WSe6 at its relaxed geometry.

Calculated values
calculated volume	378.5	Å³/cell
total magnetic moment	0.00	μB per formula unit
energy relative to the elements, uncorrected	-0.4054	eV/atom
symmetry	P2_1/c, No. 14
crystal system	monoclinic
D(E_F)	0.444	states/eV/atom
offset from the most stable computed form	283.3	meV per atom

Cell: 6.323 6.396 10.893 Å, 90.00 120.76 90.00°
Positions (direct):
Nb: 0.179 0.150 0.258
Nb: 0.179 0.350 0.758
Nb: 0.821 0.650 0.242
Nb: 0.821 0.850 0.742
W: 0.000 0.000 0.500
W: 0.000 0.500 0.000
Se: 0.110 0.145 0.932
Se: 0.110 0.355 0.432
Se: 0.264 0.686 0.916
Se: 0.264 0.814 0.416
Se: 0.402 0.024 0.733
Se: 0.402 0.476 0.233
Se: 0.598 0.524 0.767
Se: 0.598 0.976 0.267
Se: 0.736 0.186 0.584
Se: 0.736 0.314 0.084
Se: 0.890 0.645 0.568
Se: 0.890 0.855 0.068



No. 2
Density functional theory data (GGA-PBE) for crystalline Pr4HIrBr2 at its relaxed geometry.

Calculated values
calculated volume	218.3	Å³/cell
total magnetic moment	0.00	μB per formula unit
symmetry	P2/m, No. 10
crystal system	monoclinic
D(E_F)	0.891	states/eV/atom
DFT total energy	-5.211	eV/atom

Cell: 6.879 4.081 8.115 Å, 90.00 106.65 90.00°
Positions (direct):
Pr: 0.231 0.000 0.201
Pr: 0.250 0.500 0.806
Pr: 0.750 0.500 0.194
Pr: 0.769 0.000 0.799
H: 0.000 0.500 0.000
Ir: 0.500 0.000 0.000
Br: 0.000 0.000 0.500
Br: 0.500 0.500 0.500



No. 3
Density functional theory data (GGA-PBE) for crystalline LaAgH2 at its relaxed geometry.

Calculated values
calculated volume	59.0	Å³/cell
total magnetic moment	0.00	μB per formula unit
symmetry	Fm-3m, No. 225
crystal system	cubic
D(E_F)	0.301	states/eV/atom
offset from the most stable computed form	0.0	meV per atom

Cell: 4.370 4.370 4.370 Å, 60.00 60.00 60.00°
Positions (direct):
La: 0.000 0.000 0.000
Ag: 0.500 0.500 0.500
H: 0.250 0.250 0.250
H: 0.750 0.750 0.750



No. 4
Density functional theory data (GGA-PBE) for crystalline SmPuCu at its relaxed geometry.

Calculated values
calculated volume	74.3	Å³/cell
total magnetic moment	6.21	μB per formula unit
symmetry	I4mm, No. 107
crystal system	tetragonal
D(E_F)	3.204	states/eV/atom
DFT formation energy	73.6	meV/atom
offset from the most stable computed form	0.0	meV per atom

Cell: 6.558 6.558 6.558 Å, 149.06 149.06 44.32°
Positions (direct):
Sm: 0.000 0.000 0.000
Pu: 0.716 0.716 0.000
Cu: 0.359 0.359 0.000



No. 5
Density functional theory data (GGA-PBE) for crystalline SrScAg at its relaxed geometry.

Calculated values
calculated volume	86.2	Å³/cell
total magnetic moment	0.00	μB per formula unit
symmetry	I4mm, No. 107
crystal system	tetragonal
D(E_F)	1.080	states/eV/atom
DFT formation energy	-48.4	meV/atom
offset from the most stable computed form	0.0	meV per atom

Cell: 6.968 6.968 6.968 Å, 149.64 149.64 43.48°
Positions (direct):
Sr: 0.000 0.000 0.000
Sc: 0.279 0.279 0.000
Ag: 0.678 0.678 0.000



No. 6
Density functional theory data (GGA-PBE) for crystalline Zn2TeBr at its relaxed geometry.

Calculated values
calculated volume	116.8	Å³/cell
total magnetic moment	0.00	μB per formula unit
energy relative to the elements, uncorrected	-0.2100	eV/atom
symmetry	Cm, No. 8
crystal system	monoclinic
D(E_F)	0.281	states/eV/atom
offset from the most stable computed form	63.8	meV per atom

Cell: 7.623 7.623 3.994 Å, 91.12 91.12 30.24°
Positions (direct):
Zn: 0.000 0.000 0.000
Zn: 0.675 0.675 0.583
Te: 0.496 0.496 0.498
Br: 0.226 0.226 0.978



No. 7
Density functional theory data (GGA-PBE) for crystalline CdN2F at its relaxed geometry.

Calculated values
calculated volume	43.3	Å³/cell
total magnetic moment	0.00	μB per formula unit
energy relative to the elements, uncorrected	1.7765	eV/atom
symmetry	Fm-3m, No. 225
crystal system	cubic
D(E_F)	0.557	states/eV/atom
offset from the most stable computed form	2395.2	meV per atom

Cell: 3.941 3.941 3.941 Å, 60.00 60.00 60.00°
Positions (direct):
Cd: 0.000 0.000 0.000
N: 0.250 0.250 0.250
N: 0.750 0.750 0.750
F: 0.500 0.500 0.500



No. 8
Density functional theory data (GGA-PBE) for crystalline PuTi2Tc at its relaxed geometry.

Calculated values
calculated volume	73.4	Å³/cell
total magnetic moment	4.42	μB per formula unit
symmetry	R-3m, No. 166
crystal system	trigonal
D(E_F)	1.933	states/eV/atom
DFT formation energy	161.3	meV/atom
offset from the most stable computed form	328.7	meV per atom

Cell: 9.745 9.745 9.745 Å, 17.55 17.55 17.55°
Positions (direct):
Pu: 0.000 0.000 0.000
Ti: 0.100 0.100 0.100
Ti: 0.900 0.900 0.900
Tc: 0.500 0.500 0.500